Entry from the Alexandria database: a relaxed structure of Pa6S12Cl (PBE).

a = 8.0588 Å, b = 8.0588 Å, c = 8.0588 Å
α = 104.05°, β = 104.05°, γ = 104.05°
Last column: nearest neighbours and their distance in Å.
Atoms (fractional coordinates):
S 0.5490 0.8135 0.5490  3 Pa 2.67-2.73
S 0.5490 0.5490 0.8135  3 Pa 2.67-2.73
S 0.5000 0.8706 0.1294  4 Pa 2.82
S 0.8706 0.5000 0.1294  4 Pa 2.82
S 0.1294 0.8706 0.5000  4 Pa 2.82
S 0.1294 0.5000 0.8706  4 Pa 2.82
S 0.5000 0.1294 0.8706  4 Pa 2.82
S 0.8135 0.5490 0.5490  3 Pa 2.67-2.73
S 0.8706 0.1294 0.5000  4 Pa 2.82
S 0.1865 0.4510 0.4510  3 Pa 2.67-2.73
S 0.4510 0.4510 0.1865  3 Pa 2.67-2.73
S 0.4510 0.1865 0.4510  3 Pa 2.67-2.73
Pa 0.2494 0.6621 0.2494  7 S 2.67-2.82
Pa 0.7506 0.3379 0.7506  7 S 2.67-2.82
Pa 0.2494 0.2494 0.6621  7 S 2.67-2.82
Pa 0.3379 0.7506 0.7506  7 S 2.67-2.82
Pa 0.6621 0.2494 0.2494  7 S 2.67-2.82
Pa 0.7506 0.7506 0.3379  7 S 2.67-2.82
Cl 0.0000 0.0000 0.0000  18 S 4.12-4.35, 6 Pa 4.34

## Properties
Total magnetic moment ... 4.99 μB per formula unit
Mass density ... 6.4 g/cm3
Formation energy (no corrections) ... -1514 meV per atom

Entry from the Alexandria database: a relaxed structure of As2PPt (PBE).

a = 6.0942 Å, b = 6.0942 Å, c = 6.0942 Å
α = 144.35°, β = 145.44°, γ = 50.49°
Last column: nearest neighbours and their distance in Å.
Atoms (fractional coordinates):
P 0.7500 0.2500 0.5000  4 Pt 2.60, 4 As 2.60
As 0.0805 0.0805 0.0000  2 P 2.60, 2 Pt 2.64
As 0.4195 0.4195 0.0000  2 P 2.60, 2 Pt 2.64
Pt 0.2500 0.7500 0.5000  4 P 2.60, 4 As 2.64

## Properties
Total magnetic moment ... 0.00 μB per formula unit
Energy relative to the elements ... 0.117 eV per atom
Mass density ... 8.4 g/cm3